Entry 1:
The following is a DFT calculation (GGA-PBE) of crystalline TlGe3Sb at its relaxed geometry.

Calculated values
Offset from the most stable computed form in eV/atom: 0.000
Energy in eV/atom: -3.3012
Uncorrected formation energy in kcal/mol of atoms: 17.7
Total magnetic moment in μB per atom: 0.00
V in Å³/atom: 31.659
Crystal system: cubic

The structure in extended XYZ format:
```
5
Lattice="5.409 0.000 0.000 0.000 5.409 0.000 0.000 0.000 5.409" Properties=species:S:1:pos:R:3 pbc="T T T"
Tl 0.000 0.000 0.000
Ge 0.000 2.705 2.705
Ge 2.705 0.000 2.705
Ge 2.705 2.705 0.000
Sb 2.705 2.705 2.705
```

Entry 2:
The following is a DFT calculation (GGA-PBE) of crystalline Mn2HgPd2 at its relaxed geometry.

Calculated values
Offset from the most stable computed form in eV/atom: 0.059
Calculated formation energy in eV per atom: 0.0099
Energy in eV/atom: -5.7954
Total magnetic moment in μB per atom: 1.75
V in Å³/atom: 17.037
Crystal system: tetragonal

The structure in extended XYZ format:
```
10
Lattice="7.604 0.000 0.000 0.000 7.604 0.000 0.000 0.000 2.947" Properties=species:S:1:pos:R:3 pbc="T T T"
Mn 1.094 2.708 0.000
Mn 2.708 6.510 0.000
Mn 4.896 1.094 0.000
Mn 6.510 4.896 0.000
Hg 0.000 0.000 0.000
Hg 3.802 3.802 0.000
Pd 1.126 4.928 1.473
Pd 2.676 1.126 1.473
Pd 4.928 6.478 1.473
Pd 6.478 2.676 1.473
```

Entry 3:
The following is a DFT calculation (GGA-PBE) of crystalline LiCdN at its relaxed geometry.

Calculated values
Energy in eV/atom: -3.5511
Uncorrected formation energy in kcal/mol of atoms: 3.9
Total magnetic moment in μB per atom: 0.00
V in Å³/atom: 11.681
Crystal system: tetragonal

The structure in extended XYZ format:
```
6
Lattice="3.465 0.000 0.000 0.000 3.465 0.000 0.000 0.000 5.837" Properties=species:S:1:pos:R:3 pbc="T T T"
Li 0.866 2.599 0.000
Li 2.599 0.866 0.000
Cd 0.866 0.866 2.072
Cd 2.599 2.599 3.765
N 0.866 0.866 4.527
N 2.599 2.599 1.310
```

Entry 4:
The following is a DFT calculation (GGA-PBE) of crystalline Rb4BiF at its relaxed geometry.

Calculated values
Offset from the most stable computed form in eV/atom: 0.052
Energy in eV/atom: -2.6408
Uncorrected formation energy in kcal/mol of atoms: -23.9
Total magnetic moment in μB per atom: 0.00
V in Å³/atom: 46.427
Crystal system: monoclinic

The structure in extended XYZ format:
```
12
Lattice="6.752 0.000 0.000 0.000 8.064 0.000 -2.531 0.000 10.232" Properties=species:S:1:pos:R:3 pbc="T T T"
Rb 0.039 1.621 1.271
Rb -1.227 2.411 6.388
Rb 2.211 4.763 1.434
Rb 0.946 7.333 6.550
Rb 3.275 0.731 3.682
Rb 2.010 3.301 8.798
Rb 5.448 5.653 3.845
Rb 4.182 6.443 8.961
Bi 3.376 0.000 0.000
Bi 2.111 4.032 5.116
F -1.266 0.000 5.116
F 0.000 4.032 0.000
```

Entry 5:
The following is a DFT calculation (GGA-PBE) of crystalline SrInIrO6 at its relaxed geometry.

Calculated values
Energy in eV/atom: -6.1255
Uncorrected formation energy in kcal/mol of atoms: -31.0
Total magnetic moment in μB per atom: 0.20
V in Å³/atom: 15.257
Crystal system: trigonal

The structure in extended XYZ format:
```
18
Lattice="5.500 0.000 0.000 -2.750 4.763 0.000 0.000 0.000 10.481" Properties=species:S:1:pos:R:3 pbc="T T T"
Sr 0.000 0.000 0.000
Sr 0.000 0.000 5.241
In 0.000 3.176 2.620
In 2.750 1.588 7.861
Ir 0.000 3.176 7.861
Ir 2.750 1.588 2.620
O -0.875 1.855 6.765
O -1.581 3.078 8.956
O 0.875 1.855 8.956
O -0.706 4.594 6.765
O 2.044 0.170 1.525
O 1.169 1.686 3.716
O 1.581 3.078 6.765
O 0.706 4.594 8.956
O 3.456 0.170 3.716
O 1.875 2.908 1.525
O 4.331 1.686 1.525
O 3.625 2.908 3.716
```

Entry 6:
The following is a DFT calculation (GGA-PBE) of crystalline NbFe at its relaxed geometry.

Calculated values
Calculated formation energy in eV per atom: 0.2129
Energy in eV/atom: -9.0533
Total magnetic moment in μB per atom: 0.53
V in Å³/atom: 15.770
Crystal system: orthorhombic

The structure in extended XYZ format:
```
12
Lattice="4.913 0.000 0.000 0.000 8.536 0.000 0.000 0.000 4.512" Properties=species:S:1:pos:R:3 pbc="T T T"
Nb 1.228 0.719 0.023
Nb 1.228 3.549 0.023
Nb 1.228 6.402 3.311
Nb 3.685 2.134 1.202
Nb 3.685 4.987 4.490
Nb 3.685 7.817 4.490
Fe 0.000 0.000 2.256
Fe 0.000 4.268 2.256
Fe 1.228 2.134 2.336
Fe 2.457 0.000 2.256
Fe 2.457 4.268 2.256
Fe 3.685 6.402 2.177
```

Entry 7:
The following is a DFT calculation (GGA-PBE) of crystalline Dy2ZnIr at its relaxed geometry.

Calculated values
Offset from the most stable computed form in eV/atom: 0.000
Calculated formation energy in eV per atom: -0.6591
Energy in eV/atom: -5.4939
Total magnetic moment in μB per atom: 0.00
V in Å³/atom: 22.324
Crystal system: monoclinic

The structure in extended XYZ format:
```
8
Lattice="5.690 0.000 0.000 0.000 4.397 0.000 -2.738 0.000 7.139" Properties=species:S:1:pos:R:3 pbc="T T T"
Dy -0.006 1.099 3.122
Dy -1.209 1.099 6.575
Dy 4.160 3.298 0.564
Dy 2.958 3.298 4.018
Zn 1.363 3.298 1.524
Zn 1.588 1.099 5.615
Ir 0.050 3.298 5.106
Ir 2.901 1.099 2.034
```

Entry 8:
The following is a DFT calculation (GGA-PBE) of crystalline BeN2ClO at its relaxed geometry.

Calculated values
Energy in eV/atom: -3.2281
Uncorrected formation energy in kcal/mol of atoms: 50.9
Total magnetic moment in μB per atom: 0.06
V in Å³/atom: 12.586
Crystal system: tetragonal

The structure in extended XYZ format:
```
5
Lattice="3.233 0.000 0.000 0.000 3.233 0.000 0.000 0.000 6.021" Properties=species:S:1:pos:R:3 pbc="T T T"
Be 0.000 0.000 0.000
N 0.000 1.616 3.011
N 1.616 0.000 3.011
Cl 1.616 1.616 3.011
O 1.616 1.616 0.000
```

Entry 9:
The following is a DFT calculation (GGA-PBE) of crystalline LiCd3Ag2 at its relaxed geometry.

Calculated values
Offset from the most stable computed form in eV/atom: 0.000
Calculated formation energy in eV per atom: -0.1187
Energy in eV/atom: -1.8457
Total magnetic moment in μB per atom: 0.00
V in Å³/atom: 19.203
Crystal system: monoclinic

The structure in extended XYZ format:
```
12
Lattice="7.330 -2.940 0.000 7.330 2.940 0.000 -0.320 0.000 5.347" Properties=species:S:1:pos:R:3 pbc="T T T"
Li 7.089 2.158 4.011
Li 7.250 -2.158 1.337
Cd 2.243 0.730 3.119
Cd 2.403 -0.730 0.445
Cd 7.250 0.765 1.337
Cd 7.089 -0.765 4.011
Cd 11.936 0.730 4.903
Cd 12.096 -0.730 2.229
Ag 4.634 0.752 4.893
Ag 4.794 -0.752 2.220
Ag 9.545 0.752 3.128
Ag 9.705 -0.752 0.454
```

Entry 10:
The following is a DFT calculation (GGA-PBE) of crystalline In2CoWSe at its relaxed geometry.

Calculated values
Energy in eV/atom: -4.6762
Uncorrected formation energy in kcal/mol of atoms: 26.0
Total magnetic moment in μB per atom: 0.09
V in Å³/atom: 26.232
Crystal system: tetragonal

The structure in extended XYZ format:
```
5
Lattice="5.398 0.000 0.000 0.000 5.398 0.000 0.000 0.000 4.501" Properties=species:S:1:pos:R:3 pbc="T T T"
In 0.000 2.699 0.000
In 2.699 0.000 0.000
Co 0.000 0.000 2.250
W 0.000 0.000 0.000
Se 2.699 2.699 2.250
```

Entry 11:
The following is a DFT calculation (GGA-PBE) of crystalline VCu2Ir at its relaxed geometry.

Calculated values
Offset from the most stable computed form in eV/atom: 0.415
Calculated formation energy in eV per atom: 0.5249
Energy in eV/atom: -6.0181
Total magnetic moment in μB per atom: 0.46
V in Å³/atom: 14.412
Crystal system: tetragonal

The structure in extended XYZ format:
```
8
Lattice="-3.420 3.420 2.464 3.420 -3.420 2.464 3.420 3.420 -2.464" Properties=species:S:1:pos:R:3 pbc="T T T"
V 0.000 0.000 0.000
V 0.000 3.420 1.232
Cu 5.130 1.706 -0.616
Cu 1.706 1.710 0.616
Cu -1.710 1.714 1.848
Cu 1.714 1.710 3.080
Ir 3.420 0.000 1.232
Ir 0.000 0.000 2.464
```

Entry 12:
The following is a DFT calculation (GGA-PBE) of crystalline Sb2HPtI at its relaxed geometry.

Calculated values
Offset from the most stable computed form in eV/atom: 0.067
Energy in eV/atom: -3.1008
Total magnetic moment in μB per atom: 0.22
V in Å³/atom: 32.194
Crystal system: tetragonal

The structure in extended XYZ format:
```
5
Lattice="5.219 0.000 0.000 0.000 5.219 0.000 0.000 0.000 5.911" Properties=species:S:1:pos:R:3 pbc="T T T"
Sb 0.000 2.609 0.000
Sb 2.609 0.000 0.000
H 0.000 0.000 2.955
Pt 2.609 2.609 0.000
I 2.609 2.609 2.955
```

Among the records above, which one has the lowest energy? NbFe

What is the V in the twelfth record? 32.194 Å³/atom

The lowest V belongs to which entry? LiCdN